Density functional theory data (PBEsol) for HgRhW3 after structural relaxation.

Unit cell a=4.6535 b=4.6535 c=4.6535 alpha=90.00 beta=90.00 gamma=90.00
Closest atoms and distances in Å follow each position.
Positions (direct):
Hg 0.5000 0.5000 0.5000  12 W 3.29
Rh 0.0000 0.0000 0.0000  6 W 2.33
W 0.5000 0.0000 0.0000  2 Rh 2.33
W 0.0000 0.5000 0.0000  2 Rh 2.33
W 0.0000 0.0000 0.5000  2 Rh 2.33

Summary:
Crystal system: cubic
Symmetry: Pm-3m
Electronic total energy (eV/atom): -8.02
Calculated formation energy (eV/atom): 2.002

Density functional theory data (PBEsol) for Cu2Au after structural relaxation.

Unit cell a=3.7228 b=3.7228 c=11.7938 alpha=99.08 beta=99.08 gamma=90.00
Closest atoms and distances in Å follow each position.
Positions (direct):
Cu 0.4996 0.9996 0.9992  4 Au 2.61-2.62, 8 Cu 2.63-2.65
Cu 0.2496 0.2496 0.4992  4 Au 2.61-2.62, 8 Cu 2.63-2.65
Cu 0.8315 0.3315 0.6630  6 Au 2.63-2.76, 6 Cu 2.63-2.73
Cu 0.7504 0.7504 0.5008  4 Au 2.61-2.62, 8 Cu 2.63-2.65
Cu 0.0004 0.5004 0.0008  4 Au 2.61-2.62, 8 Cu 2.63-2.65
Cu 0.6685 0.1685 0.3370  6 Au 2.63-2.76, 6 Cu 2.63-2.73
Cu 0.5815 0.5815 0.1630  6 Au 2.63-2.76, 6 Cu 2.63-2.73
Cu 0.4185 0.4185 0.8370  6 Au 2.63-2.76, 6 Cu 2.63-2.73
Au 0.1702 0.6702 0.3404  10 Cu 2.61-2.76, 2 Au 2.79
Au 0.9202 0.9202 0.8404  10 Cu 2.61-2.76, 2 Au 2.79
Au 0.0798 0.0798 0.1596  10 Cu 2.61-2.76, 2 Au 2.79
Au 0.3298 0.8298 0.6596  10 Cu 2.61-2.76, 2 Au 2.79

Summary:
Crystal system: tetragonal
Symmetry: I4_1/amd
Electronic total energy (eV/atom): -4.24
Calculated formation energy (eV/atom): -0.039

Density functional theory data (PBEsol) for Ba2RhPb after structural relaxation.

Unit cell a=3.6064 b=3.6064 c=9.4250 alpha=90.00 beta=90.00 gamma=90.00
Closest atoms and distances in Å follow each position.
Positions (direct):
Ba 0.0000 0.0000 0.7048  4 Rh 3.20
Ba 0.0000 0.0000 0.2952  4 Rh 3.20
Pb 0.5000 0.5000 0.0000  4 Pb 3.61, 8 Ba 3.77
Rh 0.5000 0.5000 0.5000  8 Ba 3.20

Summary:
Crystal system: tetragonal
Symmetry: P4/mmm
Electronic total energy (eV/atom): -4.27
Calculated formation energy (eV/atom): -0.157

Density functional theory data (PBEsol) for Al3GeW2 after structural relaxation.

Unit cell a=4.8184 b=4.8279 c=13.3388 alpha=90.38 beta=90.62 gamma=60.05
Closest atoms and distances in Å follow each position.
Positions (direct):
Al 0.3917 0.8143 0.0836  1 Ge 2.64, 5 Al 2.65-2.90, 5 W 2.66-2.80
Al 0.7866 0.8138 0.2497  5 W 2.64-2.79, 5 Al 2.65-2.90, 1 Ge 2.66
Al 0.3700 0.8141 0.5837  2 Ge 2.62-2.65, 5 W 2.65-2.79, 3 Al 2.77-2.80
Al 0.7059 0.1494 0.5832  5 Al 2.60-2.80, 5 W 2.65-2.79
Al 0.8314 0.3572 0.9182  1 Al 2.62, 5 W 2.63-2.84, 4 Ge 2.65-2.81
Al 0.7270 0.1407 0.0847  6 Al 2.62-2.89, 5 W 2.67-2.79
Al 0.8263 0.8238 0.7486  1 Al 2.60, 5 W 2.63-2.84, 4 Ge 2.66-2.81
Al 0.8011 0.3718 0.4161  2 Al 2.62-2.63, 5 W 2.65-2.84, 3 Ge 2.76-2.80
Al 0.1223 0.1423 0.2489  6 Al 2.63-2.89, 5 W 2.66-2.79
W 0.4913 0.0369 0.9137  4 Ge 2.62-2.80, 6 Al 2.63-2.84
W 0.4618 0.0509 0.4170  7 Al 2.64-2.84, 3 Ge 2.77-2.80
W 0.4870 0.4843 0.7530  4 Ge 2.62-2.80, 6 Al 2.63-2.84
W 0.0598 0.4766 0.0839  1 Ge 2.61, 9 Al 2.64-2.80, 1 W 2.90
W 0.0386 0.4816 0.5825  2 Ge 2.62-2.63, 8 Al 2.65-2.79
W 0.4547 0.4768 0.2500  1 Ge 2.63, 9 Al 2.65-2.79, 1 W 2.90
Ge 0.1537 0.1540 0.7483  5 W 2.62-2.80, 5 Al 2.62-2.81
Ge 0.1592 0.6992 0.9186  5 W 2.61-2.80, 5 Al 2.64-2.81
Ge 0.1317 0.7122 0.4163  5 W 2.63-2.80, 5 Al 2.65-2.80

Summary:
Crystal system: triclinic
Symmetry: P1
Electronic total energy (eV/atom): -7.58
Calculated formation energy (eV/atom): -0.111

Density functional theory data (PBEsol) for La3Mg after structural relaxation.

Unit cell a=3.6105 b=6.0180 c=6.0180 alpha=105.58 beta=90.00 gamma=90.00
Closest atoms and distances in Å follow each position.
Positions (direct):
La 0.5000 0.0000 0.5000  8 La 3.51-3.64, 4 Mg 3.51
La 0.5000 0.5000 0.0000  4 Mg 3.51, 8 La 3.51-3.64
La 0.0000 0.5000 0.5000  10 La 3.51-3.61, 2 Mg 3.64
Mg 0.0000 0.0000 0.0000  10 La 3.51-3.64, 2 Mg 3.61

Summary:
Crystal system: orthorhombic
Symmetry: Cmmm
Electronic total energy (eV/atom): -4.46
Calculated formation energy (eV/atom): -0.017

Density functional theory data (PBEsol) for Li3VS4 after structural relaxation.

Unit cell a=5.8801 b=5.8801 c=5.8801 alpha=90.00 beta=90.00 gamma=90.00
Closest atoms and distances in Å follow each position.
Positions (direct):
S 0.7897 0.7897 0.2103  1 V 2.14
S 0.2103 0.2103 0.2103  1 V 2.14
S 0.7897 0.2103 0.7897  1 V 2.14
S 0.2103 0.7897 0.7897  1 V 2.14
Li 0.0000 0.5000 0.0000  4 S 2.44
Li 0.5000 0.0000 0.0000  4 S 2.44
Li 0.0000 0.0000 0.5000  4 S 2.44
V 0.0000 0.0000 0.0000  4 S 2.14

Summary:
Crystal system: cubic
Symmetry: P-43m
Formation energy without anion corrections (eV per formula unit): -8.65
Electronic total energy (eV/atom): -5.21

Density functional theory data (PBEsol) for ReIr3 after structural relaxation.

Unit cell a=2.7017 b=3.8527 c=5.4288 alpha=90.00 beta=90.00 gamma=90.00
Closest atoms and distances in Å follow each position.
Positions (direct):
Ir 0.5000 0.5000 0.5000  10 Ir 2.70-2.72, 2 Re 2.71
Ir 0.0000 0.0000 0.7524  8 Ir 2.69-2.74, 4 Re 2.71
Ir 0.0000 0.0000 0.2476  8 Ir 2.69-2.74, 4 Re 2.71
Re 0.5000 0.5000 0.0000  2 Re 2.70, 10 Ir 2.71

Summary:
Crystal system: orthorhombic
Symmetry: Pmmm
Electronic total energy (eV/atom): -10.81
Calculated formation energy (eV/atom): -0.113

Density functional theory data (PBEsol) for SbP2WS after structural relaxation.

Unit cell a=4.7818 b=4.8424 c=4.8424 alpha=90.00 beta=90.00 gamma=90.00
Closest atoms and distances in Å follow each position.
Positions (direct):
P 0.0000 0.5000 0.0000  2 Sb 2.42
P 0.0000 0.0000 0.5000  2 Sb 2.42
W 0.5000 0.5000 0.5000  8 P 3.40, 4 S 3.42
Sb 0.0000 0.0000 0.0000  2 S 2.39, 4 P 2.42
S 0.5000 0.0000 0.0000  2 Sb 2.39

Summary:
Crystal system: tetragonal
Symmetry: P4/mmm
Formation energy without anion corrections (eV per formula unit): 9.11
Electronic total energy (eV/atom): -5.04

Density functional theory data (PBEsol) for TlFeN2 after structural relaxation.

Unit cell a=3.3683 b=3.3683 c=6.2990 alpha=74.49 beta=74.49 gamma=60.00
Closest atoms and distances in Å follow each position.
Positions (direct):
N 0.9037 0.9037 0.2890  1 Fe 1.73
N 0.0963 0.0963 0.7110  1 Fe 1.73
Fe 0.0000 0.0000 0.0000  2 N 1.73
Tl 0.5000 0.5000 0.5000  6 N 2.32

Summary:
Crystal system: trigonal
Symmetry: R-3m
Formation energy without anion corrections (eV per formula unit): 4.33
Electronic total energy (eV/atom): -6.08

Density functional theory data (PBEsol) for ScFe2TcGe after structural relaxation.

Unit cell a=4.2903 b=4.2903 c=4.5551 alpha=90.00 beta=90.00 gamma=90.00
Closest atoms and distances in Å follow each position.
Positions (direct):
Fe 0.5000 0.0000 0.0000  2 Ge 2.15
Fe 0.0000 0.5000 0.0000  2 Ge 2.15
Tc 0.0000 0.0000 0.5000  2 Ge 2.28
Ge 0.0000 0.0000 0.0000  4 Fe 2.15, 2 Tc 2.28
Sc 0.5000 0.5000 0.5000  4 Tc 3.03, 8 Fe 3.13

Summary:
Crystal system: tetragonal
Symmetry: P4/mmm
Electronic total energy (eV/atom): -7.55
Calculated formation energy (eV/atom): 0.594

Density functional theory data (PBEsol) for CsFeNF2 after structural relaxation.

Unit cell a=5.1411 b=5.1411 c=5.4068 alpha=90.00 beta=90.00 gamma=90.00
Closest atoms and distances in Å follow each position.
Positions (direct):
Fe 0.5000 0.5000 0.5000  4 N 3.64, 8 F 3.73
F 0.5000 0.0000 0.0000  2 Cs 2.57
F 0.0000 0.5000 0.0000  2 Cs 2.57
Cs 0.0000 0.0000 0.0000  4 F 2.57, 2 N 2.70
N 0.0000 0.0000 0.5000  2 Cs 2.70

Summary:
Crystal system: tetragonal
Symmetry: P4/mmm
Formation energy without anion corrections (eV per formula unit): 4.51
Electronic total energy (eV/atom): -3.56

Density functional theory data (PBEsol) for BaSiPb2 after structural relaxation.

Unit cell a=3.6413 b=5.7738 c=6.5126 alpha=116.31 beta=106.23 gamma=90.00
Closest atoms and distances in Å follow each position.
Positions (direct):
Si 0.5000 0.0000 0.0000  4 Pb 2.94
Pb 0.7919 0.7919 0.5837  2 Si 2.94
Pb 0.2081 0.2081 0.4163  2 Si 2.94
Ba 0.0000 0.5000 0.0000  4 Si 3.41, 2 Ba 3.64, 8 Pb 3.70-3.71

Summary:
Crystal system: orthorhombic
Symmetry: Immm
Formation energy without anion corrections (eV per formula unit): -0.44
Electronic total energy (eV/atom): -4.08